First-principles (PBE) data for a geometry-optimized K2TlAs structure, as listed in the Alexandria database.

Results
- DFT formation energy (eV/atom) = -0.065
- VASP energy (eV/cell) = -9.47
- M_tot (μB/atom) = 0.00

The structure in POSCAR format:
```
K2TlAs
1.0
3.455 0.000 0.000
0.000 3.455 0.000
0.000 0.000 11.002
As K Tl
1 2 1
Direct
0.500 0.500 0.750
0.000 0.000 0.957
0.000 0.000 0.543
0.500 0.500 0.250
```

=====

First-principles (PBE) data for a geometry-optimized KTl2As2 structure, as listed in the Alexandria database.

Results
- DFT formation energy (eV/atom) = -0.176
- VASP energy (eV/cell) = -16.01
- M_tot (μB/atom) = 0.00

The structure in POSCAR format:
```
KTl2As2
1.0
-3.763 -3.266 0.800
3.184 -3.847 -0.730
1.020 -3.604 5.995
K Tl As
1 2 2
Direct
0.000 0.000 0.000
0.750 0.250 0.500
0.250 0.750 0.500
0.400 0.400 0.200
0.600 0.600 0.800
```

=====

First-principles (PBE) data for a geometry-optimized K2TlAs structure, as listed in the Alexandria database.

Results
- DFT formation energy (eV/atom) = 0.001
- VASP energy (eV/cell) = -9.21
- M_tot (μB/atom) = 0.00

The structure in POSCAR format:
```
K2TlAs
1.0
-4.505 2.138 -2.833
-4.648 -1.359 -3.072
-4.578 -0.188 5.493
As K Tl
1 2 1
Direct
0.750 0.750 0.750
0.012 0.012 0.964
0.488 0.488 0.536
0.250 0.250 0.250
```

=====

First-principles (PBE) data for a geometry-optimized KTl4As2 structure, as listed in the Alexandria database.

Results
- DFT formation energy (eV/atom) = -0.132
- VASP energy (eV/cell) = -20.78
- M_tot (μB/atom) = 0.00

The structure in POSCAR format:
```
KTl4As2
1.0
-1.045 -4.131 2.285
2.914 -2.433 -3.066
5.638 2.562 7.207
K Tl As
1 4 2
Direct
0.000 0.000 0.000
0.500 0.827 0.654
0.000 0.672 0.344
0.500 0.173 0.346
0.000 0.328 0.656
0.500 0.567 0.135
0.500 0.433 0.865
```

=====

First-principles (PBE) data for a geometry-optimized KTlAs4 structure, as listed in the Alexandria database.

Results
- DFT formation energy (eV/atom) = -0.046
- VASP energy (eV/cell) = -22.34
- M_tot (μB/atom) = 0.00

The structure in POSCAR format:
```
KTlAs4
1.0
0.000 4.211 4.211
4.211 0.000 4.211
4.211 4.211 0.000
K Tl As
1 1 4
Direct
0.750 0.750 0.750
0.000 0.000 0.000
0.907 0.364 0.364
0.364 0.364 0.907
0.364 0.907 0.364
0.364 0.364 0.364
```

=====

First-principles (PBE) data for a geometry-optimized KTl2As structure, as listed in the Alexandria database.

Results
- DFT formation energy (eV/atom) = 0.018
- VASP energy (eV/cell) = -10.41
- M_tot (μB/atom) = 0.00

The structure in POSCAR format:
```
KTl2As
1.0
3.379 0.000 0.000
0.000 5.900 -0.034
0.000 3.388 5.864
As K Tl
1 1 2
Direct
0.500 0.500 0.500
0.000 0.000 0.500
0.000 0.000 0.000
0.500 0.500 0.000
```